An optimized crystal structure of MnGaTeI2, computed with PBE.

## Properties
Energy above the lowest structure with this stoichiometry in kJ/mol of formula units: 203
Uncorrected formation energy in eV/atom: 0.402
DOS at the Fermi energy in states/eV/cell: 1.60

Unit cell a=5.6196 b=5.6196 c=5.7234 alpha=90.00 beta=90.00 gamma=90.00
Last column: nearest neighbours and their distance in Å.
Space group P4/mmm (No. 123)
Symmetry-distinct sites (fractional):
Mn (0.0000, 0.0000, 0.0000) x1  4 Te 3.97, 8 I 4.01
Ga (0.5000, 0.5000, 0.5000) x1  4 I 2.81, 2 Te 2.86
Te (0.5000, 0.5000, 0.0000) x1  2 Ga 2.86
I (0.0000, 0.5000, 0.5000) x2  2 Ga 2.81

An optimized crystal structure of CeGd2, computed with PBE.

## Properties
DFT formation energy in eV per atom: 0.35
DOS at the Fermi energy in states/eV/cell: 88.88

Unit cell a=9.3894 b=9.3894 c=9.3894 alpha=90.00 beta=90.00 gamma=90.00
Last column: nearest neighbours and their distance in Å.
Space group Fd-3m (No. 227, origin choice 2)
Symmetry-distinct sites (fractional):
Ce (0.1250, 0.1250, 0.1250) x8  12 Gd 3.89, 4 Ce 4.07
Gd (0.0000, 0.0000, 0.5000) x16  6 Gd 3.32

An optimized crystal structure of Pr2GaBr2, computed with PBE.

## Properties
Uncorrected formation energy in eV/atom: -1.261
DOS at the Fermi energy in states/eV/cell: 5.25

Unit cell a=4.1583 b=4.1583 c=34.2107 alpha=90.00 beta=90.00 gamma=120.00
Last column: nearest neighbours and their distance in Å.
Space group R-3m (No. 166, hexagonal axes)
Symmetry-distinct sites (fractional):
Pr (0.0000, 0.0000, 0.1104) x6  3 Br 3.04, 3 Ga 3.08
Ga (0.0000, 0.0000, 0.5000) x3  6 Pr 3.08
Br (0.0000, 0.0000, 0.2774) x6  3 Pr 3.04

An optimized crystal structure of ZrTaIN2, computed with PBE.

## Properties
Energy above the lowest structure with this stoichiometry in kJ/mol of formula units: 336
Uncorrected formation energy in eV/atom: 1.153
DOS at the Fermi energy in states/eV/cell: 4.52

Unit cell a=4.1983 b=4.1983 c=5.6196 alpha=90.00 beta=90.00 gamma=90.00
Last column: nearest neighbours and their distance in Å.
Space group P4/mmm (No. 123)
Symmetry-distinct sites (fractional):
Zr (0.0000, 0.0000, 0.0000) x1  4 N 2.10
Ta (0.5000, 0.5000, 0.5000) x1  4 I 2.97
I (0.0000, 0.0000, 0.5000) x1  2 Zr 2.81, 4 Ta 2.97
N (0.0000, 0.5000, 0.0000) x2  2 Zr 2.10

An optimized crystal structure of Ba2PmEu, computed with PBE.

## Properties
Energy above the lowest structure with this stoichiometry in kJ/mol of formula units: 0
DFT formation energy in eV per atom: 0.18
DOS at the Fermi energy in states/eV/cell: 4.44

Unit cell a=4.4991 b=4.4991 c=9.7256 alpha=90.00 beta=90.00 gamma=90.00
Last column: nearest neighbours and their distance in Å.
Space group P4/mmm (No. 123)
Symmetry-distinct sites (fractional):
Ba (0.0000, 0.0000, 0.2336) x2  4 Pm 3.91, 4 Eu 4.10
Pm (0.5000, 0.5000, 0.0000) x1  8 Ba 3.91
Eu (0.5000, 0.5000, 0.5000) x1  8 Ba 4.10, 4 Eu 4.50

An optimized crystal structure of CaCeFe4, computed with PBE.

## Properties
DFT formation energy in eV per atom: 0.10
DOS at the Fermi energy in states/eV/cell: 32.30

Unit cell a=7.2803 b=7.2803 c=7.2803 alpha=90.00 beta=90.00 gamma=90.00
Last column: nearest neighbours and their distance in Å.
Space group F-43m (No. 216)
Symmetry-distinct sites (fractional):
Ca (0.0000, 0.0000, 0.0000) x4  12 Fe 3.02, 4 Ce 3.15
Ce (0.2500, 0.2500, 0.2500) x4  12 Fe 3.02, 4 Ca 3.15
Fe (0.1244, 0.1244, 0.6244) x16  6 Fe 2.56-2.59

An optimized crystal structure of Tl2Hg2Cl, computed with PBE.

## Properties
Energy above the lowest structure with this stoichiometry in kJ/mol of formula units: 0
Uncorrected formation energy in eV/atom: -0.323
DOS at the Fermi energy in states/eV/cell: 2.50

Unit cell a=8.4201 b=8.4201 c=4.5673 alpha=90.00 beta=90.00 gamma=90.00
Last column: nearest neighbours and their distance in Å.
Space group P4/mbm (No. 127)
Symmetry-distinct sites (fractional):
Tl (0.1782, 0.3218, 0.0000) x4  2 Cl 3.10, 2 Hg 3.20
Hg (0.1341, 0.6341, 0.5000) x4  1 Hg 3.19, 6 Tl 3.20-3.50
Cl (0.0000, 0.0000, 0.0000) x2  4 Tl 3.10

An optimized crystal structure of Er4ScAu2, computed with PBE.

## Properties
DFT formation energy in eV per atom: -0.28
DOS at the Fermi energy in states/eV/cell: 26.58

Unit cell a=5.1092 b=5.1092 c=25.9453 alpha=90.00 beta=90.00 gamma=120.00
Last column: nearest neighbours and their distance in Å.
Space group R-3m (No. 166, hexagonal axes)
Symmetry-distinct sites (fractional):
Er (0.0000, 0.0000, 0.1208) x6  3 Sc 3.18, 3 Au 3.29, 3 Er 3.53
Er (0.0000, 0.0000, 0.2876) x6  4 Au 2.85-2.99
Sc (0.0000, 0.0000, 0.5000) x3  2 Au 2.66
Au (0.0000, 0.0000, 0.3976) x6  1 Sc 2.66, 1 Er 2.85

An optimized crystal structure of Y2TaAs, computed with PBE.

## Properties
DFT formation energy in eV per atom: 0.04
DOS at the Fermi energy in states/eV/cell: 10.46

Unit cell a=9.9670 b=3.6857 c=5.2873 alpha=90.00 beta=106.94 gamma=90.00
Last column: nearest neighbours and their distance in Å.
Space group C2/m (No. 12)
Symmetry-distinct sites (fractional):
Y (0.2257, 0.0000, 0.2275) x4  2 As 2.89, 1 Ta 3.00, 2 Y 3.18
Ta (0.0000, 0.0000, 0.5000) x2  6 Y 3.00-3.26, 4 As 3.22
As (0.0000, 0.5000, 0.0000) x2  4 Y 2.89, 4 Ta 3.22

An optimized crystal structure of AgBAsBr2, computed with PBE.

## Properties
Energy above the lowest structure with this stoichiometry in kJ/mol of formula units: 0
Uncorrected formation energy in eV/atom: 0.716
DOS at the Fermi energy in states/eV/cell: 2.77

Unit cell a=5.2338 b=5.2338 c=4.0154 alpha=90.00 beta=90.00 gamma=90.00
Last column: nearest neighbours and their distance in Å.
Space group P4/mmm (No. 123)
Symmetry-distinct sites (fractional):
Ag (0.0000, 0.0000, 0.0000) x1  8 Br 3.30
B (0.5000, 0.5000, 0.5000) x1  2 As 2.01
As (0.5000, 0.5000, 0.0000) x1  2 B 2.01
Br (0.0000, 0.5000, 0.5000) x2  2 B 2.62

An optimized crystal structure of Ge3PI, computed with PBE.

## Properties
Energy above the lowest structure with this stoichiometry in kJ/mol of formula units: 0
Uncorrected formation energy in eV/atom: 0.602
DOS at the Fermi energy in states/eV/cell: 4.87

Unit cell a=5.0133 b=5.0133 c=5.0133 alpha=90.00 beta=90.00 gamma=90.00
Last column: nearest neighbours and their distance in Å.
Space group Pm-3m (No. 221)
Symmetry-distinct sites (fractional):
Ge (0.0000, 0.0000, 0.5000) x3  2 P 2.51
P (0.0000, 0.0000, 0.0000) x1  6 Ge 2.51
I (0.5000, 0.5000, 0.5000) x1  12 Ge 3.54

An optimized crystal structure of Sc3GaN, computed with PBE.

## Properties
Uncorrected formation energy in eV/atom: -0.962
DOS at the Fermi energy in states/eV/cell: 19.69

Unit cell a=13.8246 b=3.2816 c=7.6783 alpha=90.00 beta=96.19 gamma=90.00
Last column: nearest neighbours and their distance in Å.
Space group Cm (No. 8)
Symmetry-distinct sites (fractional):
Sc (0.0000, 0.0000, 0.0000) x2  3 Ga 2.84, 2 Sc 3.09
Sc (0.0123, 0.5000, 0.3424) x2  2 N 2.23
Sc (0.1026, 0.5000, 0.7110) x2  3 N 2.19-2.20
Sc (0.2161, 0.0000, 0.4590) x2  3 N 2.28
Sc (0.2910, 0.0000, 0.8672) x2  2 N 2.30
Sc (0.4062, 0.5000, 0.6026) x2  2 N 2.18-2.26
Ga (0.1636, 0.5000, 0.1036) x2  1 Ga 2.57, 2 Sc 2.84
Ga (0.3454, 0.5000, 0.2157) x2  1 Ga 2.57, 1 Sc 2.84
N (0.0600, 0.0000, 0.5284) x2  6 Sc 2.20-2.28
N (0.2552, 0.5000, 0.6607) x2  6 Sc 2.18-2.30

DOS at the Fermi energy of number 10 (AgBAsBr2)? 2.77 states/eV/cell